Record 1
Density functional theory data (GGA-PBE) for a geometry-optimized ScPaMnTc structure.

The formation energy is -0.598 eV/f.u. Its total DFT energy (no corrections) is -8.990 eV/atom.

Unit cell a=4.665 b=4.665 c=4.665 alpha=60.00 beta=60.00 gamma=60.00
Fractional coordinates of all 4 atoms:
Sc 0.000 0.000 0.000
Pa 0.500 0.500 0.500
Mn 0.250 0.250 0.250
Tc 0.750 0.750 0.750

Record 2
Density functional theory data (GGA-PBE) for a geometry-optimized Pa2MnSe6 structure.

The uncorrected formation energy is -10.0 eV/f.u. Its total DFT energy (no corrections) is -6.569 eV/atom.

Unit cell a=6.352 b=7.348 c=10.963 alpha=90.00 beta=124.73 gamma=90.00
Fractional coordinates of all 18 atoms:
Pa 0.192 0.133 0.245
Pa 0.192 0.367 0.745
Pa 0.808 0.633 0.255
Pa 0.808 0.867 0.755
Mn 0.000 0.000 0.500
Mn 0.000 0.500 0.000
Se 0.100 0.177 0.941
Se 0.100 0.323 0.441
Se 0.280 0.669 0.942
Se 0.280 0.831 0.442
Se 0.401 0.032 0.756
Se 0.401 0.468 0.256
Se 0.599 0.532 0.744
Se 0.599 0.968 0.244
Se 0.720 0.169 0.558
Se 0.720 0.331 0.058
Se 0.900 0.677 0.559
Se 0.900 0.823 0.059

Record 3
Density functional theory data (GGA-PBE) for a geometry-optimized PaMnSe4 structure.

The calculation puts the energy above the most stable polymorph in this dataset at 0.000 eV/atom. The uncorrected formation energy is -5.3 eV/f.u. Its total DFT energy (no corrections) is -6.311 eV/atom.

Unit cell a=8.499 b=8.499 c=6.681 alpha=105.21 beta=105.21 gamma=124.58
Fractional coordinates of all 12 atoms:
Pa 0.171 0.829 0.750
Pa 0.829 0.171 0.250
Mn 0.429 0.571 0.750
Mn 0.571 0.429 0.250
Se 0.071 0.449 0.751
Se 0.234 0.350 0.297
Se 0.350 0.234 0.797
Se 0.449 0.071 0.251
Se 0.551 0.929 0.749
Se 0.650 0.766 0.203
Se 0.766 0.650 0.703
Se 0.929 0.551 0.249

Record 4
Density functional theory data (GGA-PBE) for a geometry-optimized PaMnSe4 structure.

The calculation puts the energy above the most stable polymorph in this dataset at 0.031 eV/atom. The uncorrected formation energy is -5.1 eV/f.u. Its total DFT energy (no corrections) is -6.280 eV/atom.

Unit cell a=7.596 b=7.596 c=7.596 alpha=104.76 beta=104.76 gamma=119.36
Fractional coordinates of all 12 atoms:
Pa 0.000 0.000 0.000
Pa 0.750 0.250 0.500
Mn 0.243 0.743 0.500
Mn 0.493 0.493 0.000
Se 0.210 0.520 0.690
Se 0.270 0.080 0.810
Se 0.270 0.460 0.190
Se 0.282 0.975 0.307
Se 0.668 0.975 0.693
Se 0.725 0.532 0.807
Se 0.725 0.918 0.193
Se 0.830 0.520 0.310